Material: SiHg2NO
Method: DFT, PBE-GGA
State: optimized geometry

Results
E in hartree per atom: -0.108
Size of the total moment in μB/f.u.: 2.805
Calculated volume in Å³ per atom: 27.24
DOS(E_F) in states/eV/f.u.: 1.20
SG: P4/mmm (123)
Calculated density in g/cm3: 5.60
Formation energy without anion corrections in meV per atom: 918.7

a = 6.315 Å, b = 3.416 Å, c = 6.315 Å
α = 90.00°, β = 90.00°, γ = 90.00°
Site moments in Bohr magnetons follow the coordinates.
Element x y z (fractional)
O  0.000  0.000  0.000  -0.02
Hg  0.500  0.000  0.000  0.06
Hg  0.000  0.000  0.500  0.04
N  0.500  0.500  0.500  1.82
Si  0.000  0.500  0.000  -0.02